[1]
Material: In3HPt
Method: DFT, PBE-GGA
State: optimized geometry Values from VASP.

Summary:
E above lowest polymorph: 0.0 kJ/mol of atoms

Cell and atoms, written as Quantum ESPRESSO input:
```
&SYSTEM
  ibrav = 0, nat = 5, ntyp = 3
/
ATOMIC_SPECIES
In 114.82 In.upf
H 1.01 H.upf
Pt 195.08 Pt.upf
CELL_PARAMETERS angstrom
5.176 0.000 0.000
0.000 5.176 0.000
0.000 0.000 5.176
ATOMIC_POSITIONS crystal
In 0.500 0.000 0.000
H 0.500 0.500 0.500
In 0.000 0.500 0.000
Pt 0.000 0.000 0.000
In 0.000 0.000 0.500
```

---

[2]
Material: InHPt2
Method: DFT, PBE-GGA
State: optimized geometry Values from VASP.

Summary:
E above lowest polymorph: 51.1 kJ/mol of atoms

Cell and atoms, written as Quantum ESPRESSO input:
```
&SYSTEM
  ibrav = 0, nat = 4, ntyp = 3
/
ATOMIC_SPECIES
In 114.82 In.upf
Pt 195.08 Pt.upf
H 1.01 H.upf
CELL_PARAMETERS angstrom
-3.325 -2.500 1.417
-3.758 1.872 1.300
-3.627 -0.424 -2.445
ATOMIC_POSITIONS crystal
In 0.500 0.500 0.500
Pt 0.250 0.250 0.250
Pt 0.750 0.750 0.750
H 0.000 0.000 0.000
```

---

[3]
Material: InHPt2
Method: DFT, PBE-GGA
State: optimized geometry Values from VASP.

Summary:
E above lowest polymorph: 35.2 kJ/mol of atoms

Cell and atoms, written as Quantum ESPRESSO input:
```
&SYSTEM
  ibrav = 0, nat = 4, ntyp = 3
/
ATOMIC_SPECIES
In 114.82 In.upf
Pt 195.08 Pt.upf
H 1.01 H.upf
CELL_PARAMETERS angstrom
-2.608 -0.760 -1.060
-2.093 -0.931 1.804
-4.093 6.854 1.146
ATOMIC_POSITIONS crystal
In 0.000 0.000 0.000
Pt 0.886 0.886 0.342
H 0.500 0.500 0.500
Pt 0.114 0.114 0.658
```

---

> Among the records above, which one has the highest E above lowest polymorph?

number 2

---

> E above lowest polymorph of number 3 (InHPt2)?

35.2 kJ/mol of atoms

---

> E above lowest polymorph of number 2 (InHPt2)?

51.1 kJ/mol of atoms

---

> What is the formula in the third record?

InHPt2